Entry from Alexandria: a relaxed structure of BPt3Au (PBE-GGA).

Cell: 4.780 11.130 5.917 Å, 90.00 90.00 90.00°
Sites, in units of the cell vectors:
Pt: 0.501 0.250 0.003
Pt: 0.502 0.620 0.563
Pt: 0.999 0.750 0.503
Pt: 0.002 0.880 0.937
Pt: 0.502 0.880 0.563
Pt: 0.498 0.120 0.437
Pt: 0.001 0.250 0.497
Pt: 0.998 0.120 0.063
Pt: 0.499 0.750 0.997
Pt: 0.002 0.620 0.937
Pt: 0.998 0.380 0.063
Pt: 0.498 0.380 0.437
B: 0.903 0.750 0.169
B: 0.403 0.750 0.331
B: 0.597 0.250 0.669
B: 0.097 0.250 0.831
Au: 0.000 0.500 0.500
Au: 0.500 0.500 0.000
Au: 0.000 0.000 0.500
Au: 0.500 0.000 0.000

Relative energy among the computed polymorphs = 0.86 eV per formula unit
SG = Pnma
Theoretical density = 16.73 g/cm3
Electronic total energy = -0.20710 hartree per atom
DOS(E_F) = 2.0 states/eV/f.u.
ΔE_f = -0.020 eV per atom